Density functional theory data (PBE) for a relaxed structure of YReTc2.

Output
Energy of formation from the pure elements   0.613 eV/atom
Crystal system   monoclinic
Density of states at the Fermi level   3.96 states/eV/f.u.
Spin magnetization   0.0 μB/cell

Cell lengths 4.4268, 4.0568, 4.7384 Å; angles 90.00, 106.51, 90.00 degrees
Space group P2/m (No. 10)
Inequivalent atoms, fractional coordinates:
Y: 0.0000 0.0000 0.0000 [1 per cell]
Re: 0.5000 0.0000 0.5000 [1 per cell]
Tc: 0.3526 0.5000 0.7249 [2 per cell]